(1)
Here is Pm2DyHo after structural relaxation from Alexandria via LeMat-Bulk. Energies are from PBE.

a b c (Å): 5.0925 5.0925 5.0460
angles (deg): 90.00 90.00 90.00
Fractional coordinates of all 4 atoms:
Pm  0.0000  0.5000  0.0000
Pm  0.5000  0.0000  0.0000
Dy  0.0000  0.0000  0.5000
Ho  0.5000  0.5000  0.5000

energy relative to the elements = 8 kJ/mol of formula units
size of the total moment = 0.00 μB/cell
ΔE to the lowest computed polymorph = 6.9 meV per atom
space group = P4/mmm
crystal system = tetragonal

=====

(2)
Here is Pm4Dy7Ho after structural relaxation from Alexandria via LeMat-Bulk. Energies are from PBE.

a b c (Å): 6.7305 6.7305 12.7761
angles (deg): 115.05 115.05 52.19
Fractional coordinates of all 12 atoms:
Pm  0.0570  0.0570  0.3309
Pm  0.3633  0.3633  0.2227
Pm  0.6367  0.6367  0.7773
Pm  0.9430  0.9430  0.6691
Dy  0.0000  0.0000  0.0000
Dy  0.2119  0.2119  0.9237
Dy  0.2546  0.2546  0.6870
Dy  0.3641  0.3641  0.4958
Dy  0.6359  0.6359  0.5042
Dy  0.7454  0.7454  0.3130
Dy  0.7881  0.7881  0.0763
Ho  0.5000  0.5000  0.0000

energy relative to the elements = 316 kJ/mol of formula units
size of the total moment = 0.00 μB/cell
ΔE to the lowest computed polymorph = 184.9 meV per atom
space group = C2/m
crystal system = monoclinic

=====

(3)
Here is Pm7Dy2Ho2 after structural relaxation from Alexandria via LeMat-Bulk. Energies are from PBE.

a b c (Å): 6.9541 6.9541 8.2175
angles (deg): 101.61 101.61 78.38
Fractional coordinates of all 11 atoms:
Pm  0.0000  0.0000  0.0000
Pm  0.0819  0.4768  0.8200
Pm  0.2643  0.2643  0.4484
Pm  0.4768  0.0819  0.8200
Pm  0.5232  0.9181  0.1800
Pm  0.7357  0.7357  0.5516
Pm  0.9181  0.5232  0.1800
Dy  0.4498  0.4498  0.1889
Dy  0.5502  0.5502  0.8111
Ho  0.2099  0.7901  0.5000
Ho  0.7901  0.2099  0.5000

energy relative to the elements = 167 kJ/mol of formula units
size of the total moment = 0.00 μB/cell
ΔE to the lowest computed polymorph = 45.9 meV per atom
space group = C2/m
crystal system = monoclinic

=====

(4)
Here is PmDy12Ho2 after structural relaxation from Alexandria via LeMat-Bulk. Energies are from PBE.

a b c (Å): 3.5521 5.5690 24.3113
angles (deg): 90.00 94.07 90.00
Fractional coordinates of all 15 atoms:
Pm  0.0000  0.0000  0.0000
Dy  0.0673  0.0000  0.1384
Dy  0.0983  0.5000  0.2022
Dy  0.1648  0.5000  0.3301
Dy  0.2159  0.0000  0.4252
Dy  0.2752  0.5000  0.5553
Dy  0.4640  0.5000  0.9252
Dy  0.5360  0.5000  0.0748
Dy  0.7248  0.5000  0.4447
Dy  0.7841  0.0000  0.5748
Dy  0.8352  0.5000  0.6699
Dy  0.9017  0.5000  0.7978
Dy  0.9327  0.0000  0.8616
Ho  0.3658  0.0000  0.7279
Ho  0.6342  0.0000  0.2721

energy relative to the elements = 163 kJ/mol of formula units
size of the total moment = 0.00 μB/cell
space group = P2/m
crystal system = monoclinic

=====

(5)
Here is Pm2Dy5Ho2 after structural relaxation from Alexandria via LeMat-Bulk. Energies are from PBE.

a b c (Å): 8.7074 8.7074 6.3226
angles (deg): 104.05 104.05 38.79
Fractional coordinates of all 9 atoms:
Pm  0.0627  0.0627  0.2899
Pm  0.9373  0.9373  0.7101
Dy  0.1809  0.1809  0.8608
Dy  0.2910  0.2910  0.4265
Dy  0.5000  0.5000  0.5000
Dy  0.7090  0.7090  0.5735
Dy  0.8191  0.8191  0.1392
Ho  0.3972  0.3972  0.9792
Ho  0.6028  0.6028  0.0208

energy relative to the elements = 96 kJ/mol of formula units
size of the total moment = 0.00 μB/cell
ΔE to the lowest computed polymorph = 0.0 meV per atom
space group = C2/m
crystal system = monoclinic

=====

(6)
Here is Pm6Dy5Ho2 after structural relaxation from Alexandria via LeMat-Bulk. Energies are from PBE.

a b c (Å): 11.6837 20.5128 3.6104
angles (deg): 90.00 90.00 90.00
Fractional coordinates of all 26 atoms:
Pm  0.0603  0.0802  0.0000
Pm  0.0826  0.3673  0.0000
Pm  0.1733  0.6352  0.5000
Pm  0.3267  0.1352  0.5000
Pm  0.4174  0.8673  0.0000
Pm  0.4397  0.5802  0.0000
Pm  0.5603  0.4198  0.0000
Pm  0.5826  0.1327  0.0000
Pm  0.6733  0.8648  0.5000
Pm  0.8267  0.3648  0.5000
Pm  0.9174  0.6327  0.0000
Pm  0.9397  0.9198  0.0000
Dy  0.0000  0.5000  0.5000
Dy  0.0915  0.2263  0.5000
Dy  0.1982  0.9451  0.5000
Dy  0.3018  0.4451  0.5000
Dy  0.4085  0.7263  0.5000
Dy  0.5000  0.0000  0.5000
Dy  0.5915  0.2737  0.5000
Dy  0.6982  0.5549  0.5000
Dy  0.8018  0.0549  0.5000
Dy  0.9085  0.7737  0.5000
Ho  0.1667  0.7895  0.0000
Ho  0.3333  0.2895  0.0000
Ho  0.6667  0.7105  0.0000
Ho  0.8333  0.2105  0.0000

energy relative to the elements = 126 kJ/mol of formula units
size of the total moment = 0.00 μB/cell
space group = Pbam
crystal system = orthorhombic

=====

(7)
Here is Pm2DyHo7 after structural relaxation from Alexandria via LeMat-Bulk. Energies are from PBE.

a b c (Å): 14.7195 14.7195 3.5075
angles (deg): 90.00 90.00 154.63
Fractional coordinates of all 10 atoms:
Pm  0.2080  0.7920  0.0000
Pm  0.7920  0.2080  0.0000
Dy  0.5000  0.5000  0.5000
Ho  0.0000  0.0000  0.0000
Ho  0.1557  0.3518  0.0000
Ho  0.3151  0.6849  0.5000
Ho  0.3518  0.1557  0.0000
Ho  0.6482  0.8443  0.0000
Ho  0.6849  0.3151  0.5000
Ho  0.8443  0.6482  0.0000

energy relative to the elements = 154 kJ/mol of formula units
size of the total moment = 0.00 μB/cell
ΔE to the lowest computed polymorph = 0.0 meV per atom
space group = Cmmm
crystal system = orthorhombic

=====

(8)
Here is Pm3Dy8Ho4 after structural relaxation from Alexandria via LeMat-Bulk. Energies are from PBE.

a b c (Å): 9.2495 9.2495 6.7440
angles (deg): 111.37 111.37 87.34
Fractional coordinates of all 15 atoms:
Pm  0.0000  0.0000  0.0000
Pm  0.0000  0.5000  0.0000
Pm  0.5000  0.0000  0.0000
Dy  0.1418  0.8582  0.5000
Dy  0.2305  0.2305  0.9596
Dy  0.2392  0.2392  0.4905
Dy  0.2472  0.7528  0.0000
Dy  0.7528  0.2472  0.0000
Dy  0.7608  0.7608  0.5095
Dy  0.7695  0.7695  0.0404
Dy  0.8582  0.1418  0.5000
Ho  0.0000  0.5000  0.5000
Ho  0.5000  0.0000  0.5000
Ho  0.5000  0.5000  0.0000
Ho  0.5000  0.5000  0.5000

energy relative to the elements = 570 kJ/mol of formula units
size of the total moment = 0.00 μB/cell
space group = C2/m
crystal system = monoclinic

=====

(9)
Here is Pm12DyHo6 after structural relaxation from Alexandria via LeMat-Bulk. Energies are from PBE.

a b c (Å): 9.5319 9.5319 9.5319
angles (deg): 110.90 110.90 110.90
Fractional coordinates of all 19 atoms:
Pm  0.0556  0.5798  0.3707
Pm  0.1045  0.1573  0.7372
Pm  0.1573  0.7372  0.1045
Pm  0.2628  0.8955  0.8427
Pm  0.3707  0.0556  0.5798
Pm  0.4202  0.6293  0.9444
Pm  0.5798  0.3707  0.0556
Pm  0.6293  0.9444  0.4202
Pm  0.7372  0.1045  0.1573
Pm  0.8427  0.2628  0.8955
Pm  0.8955  0.8427  0.2628
Pm  0.9444  0.4202  0.6293
Dy  0.0000  0.0000  0.0000
Ho  0.2129  0.3168  0.4722
Ho  0.3168  0.4722  0.2129
Ho  0.4722  0.2129  0.3168
Ho  0.5278  0.7871  0.6832
Ho  0.6832  0.5278  0.7871
Ho  0.7871  0.6832  0.5278

energy relative to the elements = 28 kJ/mol of formula units
size of the total moment = 0.00 μB/cell
ΔE to the lowest computed polymorph = 0.0 meV per atom
space group = R-3
crystal system = trigonal

=====

(10)
Here is PmDy5Ho2 after structural relaxation from Alexandria via LeMat-Bulk. Energies are from PBE.

a b c (Å): 5.7309 11.2013 8.4812
angles (deg): 90.00 106.34 90.00
Fractional coordinates of all 16 atoms:
Pm  0.0009  0.2500  0.3457
Pm  0.9991  0.7500  0.6543
Dy  0.1654  0.0766  0.7099
Dy  0.1654  0.4234  0.7099
Dy  0.2671  0.7500  0.0828
Dy  0.3028  0.0762  0.1198
Dy  0.3028  0.4238  0.1198
Dy  0.6972  0.5762  0.8802
Dy  0.6972  0.9238  0.8802
Dy  0.7329  0.2500  0.9172
Dy  0.8346  0.5766  0.2901
Dy  0.8346  0.9234  0.2901
Ho  0.3881  0.6167  0.4642
Ho  0.3881  0.8833  0.4642
Ho  0.6119  0.1167  0.5358
Ho  0.6119  0.3833  0.5358

energy relative to the elements = 140 kJ/mol of formula units
size of the total moment = 0.00 μB/cell
ΔE to the lowest computed polymorph = 165.3 meV per atom
space group = P2_1/m
crystal system = monoclinic

=====

(11)
Here is Pm3Dy2Ho8 after structural relaxation from Alexandria via LeMat-Bulk. Energies are from PBE.

a b c (Å): 8.6241 8.6241 6.9139
angles (deg): 105.93 105.93 63.90
Fractional coordinates of all 13 atoms:
Pm  0.0000  0.0000  0.0000
Pm  0.1758  0.8242  0.5000
Pm  0.8242  0.1758  0.5000
Dy  0.2151  0.2151  0.4232
Dy  0.7849  0.7849  0.5768
Ho  0.1920  0.1920  0.8969
Ho  0.2003  0.5615  0.8221
Ho  0.4159  0.4159  0.2687
Ho  0.4385  0.7997  0.1779
Ho  0.5615  0.2003  0.8221
Ho  0.5841  0.5841  0.7313
Ho  0.7997  0.4385  0.1779
Ho  0.8080  0.8080  0.1031

energy relative to the elements = 295 kJ/mol of formula units
size of the total moment = 0.00 μB/cell
space group = C2/m
crystal system = monoclinic

=====

(12)
Here is Pm2Dy3Ho4 after structural relaxation from Alexandria via LeMat-Bulk. Energies are from PBE.

a b c (Å): 9.9771 9.9771 6.1226
angles (deg): 94.95 94.95 70.90
Fractional coordinates of all 18 atoms:
Pm  0.0213  0.7333  0.6777
Pm  0.2667  0.9787  0.8223
Pm  0.7333  0.0213  0.1777
Pm  0.9787  0.2667  0.3223
Dy  0.0973  0.9027  0.2500
Dy  0.2378  0.4326  0.4042
Dy  0.4326  0.2378  0.9042
Dy  0.5674  0.7622  0.0958
Dy  0.7622  0.5674  0.5958
Dy  0.9027  0.0973  0.7500
Ho  0.0771  0.3545  0.8485
Ho  0.3132  0.5944  0.9846
Ho  0.3545  0.0771  0.3485
Ho  0.4056  0.6868  0.5154
Ho  0.5944  0.3132  0.4846
Ho  0.6455  0.9229  0.6515
Ho  0.6868  0.4056  0.0154
Ho  0.9229  0.6455  0.1515

energy relative to the elements = 83 kJ/mol of formula units
size of the total moment = 0.00 μB/cell
space group = C2/c
crystal system = monoclinic

=====

(13)
Here is Pm3Dy5Ho3 after structural relaxation from Alexandria via LeMat-Bulk. Energies are from PBE.

a b c (Å): 9.6584 9.6584 5.4188
angles (deg): 90.00 90.00 120.00
Fractional coordinates of all 11 atoms:
Pm  0.0000  0.3652  0.0000
Pm  0.3652  0.0000  0.0000
Pm  0.6348  0.6348  0.0000
Dy  0.0000  0.7346  0.0000
Dy  0.2654  0.2654  0.0000
Dy  0.3333  0.6667  0.0000
Dy  0.6667  0.3333  0.0000
Dy  0.7346  0.0000  0.0000
Ho  0.0000  0.5487  0.5000
Ho  0.4513  0.4513  0.5000
Ho  0.5487  0.0000  0.5000

energy relative to the elements = 862 kJ/mol of formula units
size of the total moment = 0.00 μB/cell
space group = P-62m
crystal system = hexagonal

=====

(14)
Here is Pm14DyHo after structural relaxation from Alexandria via LeMat-Bulk. Energies are from PBE.

a b c (Å): 7.2757 7.2757 10.2671
angles (deg): 90.00 90.00 90.00
Fractional coordinates of all 16 atoms:
Pm  0.0000  0.0000  0.0000
Pm  0.0000  0.5000  0.0000
Pm  0.0000  0.5000  0.5000
Pm  0.2502  0.2502  0.2518
Pm  0.2502  0.2502  0.7482
Pm  0.2502  0.7498  0.2518
Pm  0.2502  0.7498  0.7482
Pm  0.5000  0.0000  0.0000
Pm  0.5000  0.0000  0.5000
Pm  0.5000  0.5000  0.0000
Pm  0.7498  0.2502  0.2518
Pm  0.7498  0.2502  0.7482
Pm  0.7498  0.7498  0.2518
Pm  0.7498  0.7498  0.7482
Dy  0.0000  0.0000  0.5000
Ho  0.5000  0.5000  0.5000

energy relative to the elements = 23 kJ/mol of formula units
size of the total moment = 0.00 μB/cell
space group = P4/mmm
crystal system = tetragonal

=====

(15)
Here is Pm3PrDy6Ho2 after structural relaxation from Alexandria via LeMat-Bulk. Energies are from PBE.

a b c (Å): 6.2016 6.2016 11.8450
angles (deg): 94.99 94.99 119.97
Fractional coordinates of all 12 atoms:
Pm  0.0000  0.0000  0.0000
Pm  0.3331  0.6669  0.0000
Pm  0.6669  0.3331  0.0000
Pr  0.5000  0.5000  0.5000
Dy  0.0824  0.4166  0.2514
Dy  0.2491  0.2491  0.7486
Dy  0.4166  0.0824  0.2514
Dy  0.5834  0.9176  0.7486
Dy  0.7509  0.7509  0.2514
Dy  0.9176  0.5834  0.7486
Ho  0.1667  0.8333  0.5000
Ho  0.8333  0.1667  0.5000

energy relative to the elements = 18 kJ/mol of formula units
size of the total moment = 0.00 μB/cell
space group = C2/m
crystal system = monoclinic

=====

(16)
Here is PmPr3Dy2Ho6 after structural relaxation from Alexandria via LeMat-Bulk. Energies are from PBE.

a b c (Å): 6.2198 6.2198 11.8170
angles (deg): 95.02 95.02 119.98
Fractional coordinates of all 12 atoms:
Pm  0.0000  0.0000  0.0000
Pr  0.1668  0.8332  0.5000
Pr  0.5000  0.5000  0.5000
Pr  0.8332  0.1668  0.5000
Dy  0.3333  0.6667  0.0000
Dy  0.6667  0.3333  0.0000
Ho  0.0826  0.4163  0.2468
Ho  0.2512  0.2512  0.7532
Ho  0.4163  0.0826  0.2468
Ho  0.5837  0.9174  0.7532
Ho  0.7488  0.7488  0.2468
Ho  0.9174  0.5837  0.7532

energy relative to the elements = 21 kJ/mol of formula units
size of the total moment = 0.00 μB/cell
space group = C2/m
crystal system = monoclinic

=====

(17)
Here is Pm2PrDyHo2 after structural relaxation from Alexandria via LeMat-Bulk. Energies are from PBE.

a b c (Å): 6.6739 17.7554 3.4097
angles (deg): 90.00 90.00 90.00
Fractional coordinates of all 12 atoms:
Pm  0.2263  0.1520  0.0000
Pm  0.2737  0.6520  0.5000
Pm  0.7263  0.3480  0.5000
Pm  0.7737  0.8480  0.0000
Pr  0.0000  0.5000  0.5000
Pr  0.5000  0.0000  0.0000
Dy  0.0000  0.0000  0.5000
Dy  0.5000  0.5000  0.0000
Ho  0.2315  0.3208  0.5000
Ho  0.2685  0.8208  0.0000
Ho  0.7315  0.1792  0.0000
Ho  0.7685  0.6792  0.5000

energy relative to the elements = 153 kJ/mol of formula units
size of the total moment = 0.00 μB/cell
space group = Pnnm
crystal system = orthorhombic

=====

(18)
Here is PmPr6Dy2Ho3 after structural relaxation from Alexandria via LeMat-Bulk. Energies are from PBE.

a b c (Å): 6.3146 6.3146 11.9174
angles (deg): 95.05 95.05 120.00
Fractional coordinates of all 12 atoms:
Pm  0.0000  0.0000  0.0000
Pr  0.0842  0.4181  0.2516
Pr  0.2495  0.2495  0.7485
Pr  0.4181  0.0842  0.2516
Pr  0.5819  0.9158  0.7484
Pr  0.7505  0.7505  0.2515
Pr  0.9158  0.5819  0.7484
Dy  0.3334  0.6666  0.0000
Dy  0.6666  0.3334  0.0000
Ho  0.1668  0.8332  0.5000
Ho  0.5000  0.5000  0.5000
Ho  0.8332  0.1668  0.5000

energy relative to the elements = 14 kJ/mol of formula units
size of the total moment = 0.00 μB/cell
space group = C2/m
crystal system = monoclinic

=====

(19)
Here is Pm2Pr3Dy6Ho after structural relaxation from Alexandria via LeMat-Bulk. Energies are from PBE.

a b c (Å): 6.2483 6.2483 11.8748
angles (deg): 95.02 95.02 119.99
Fractional coordinates of all 12 atoms:
Pm  0.1665  0.8335  0.0000
Pm  0.8335  0.1665  0.0000
Pr  0.0000  0.0000  0.5000
Pr  0.3332  0.6668  0.5000
Pr  0.6668  0.3332  0.5000
Dy  0.0846  0.4174  0.7526
Dy  0.2499  0.2499  0.2476
Dy  0.4174  0.0846  0.7526
Dy  0.5826  0.9154  0.2474
Dy  0.7501  0.7501  0.7524
Dy  0.9154  0.5826  0.2474
Ho  0.5000  0.5000  0.0000

energy relative to the elements = 17 kJ/mol of formula units
size of the total moment = 0.00 μB/cell
space group = C2/m
crystal system = monoclinic